Record 1
DFT (GGA-PBEsol) results for crystalline Sr3TaTe at its relaxed geometry.

- Symmetry: Pm-3m (221)
- Energy: -3.707 eV per atom

Lattice parameters (Å, degrees): 6.060 6.060 6.060 90.00 90.00 90.00
Positions (direct):
Sr  0.000  0.500  0.000
Sr  0.500  0.000  0.000
Sr  0.000  0.000  0.500
Te  0.000  0.000  0.000
Ta  0.500  0.500  0.500



Record 2
DFT (GGA-PBEsol) results for crystalline SrTaTe3 at its relaxed geometry.

- Symmetry: Pm-3m (221)
- Energy: -5.438 eV per atom

Lattice parameters (Å, degrees): 5.427 5.427 5.427 90.00 90.00 90.00
Positions (direct):
Te  0.000  0.500  0.000
Te  0.000  0.000  0.500
Te  0.500  0.000  0.000
Ta  0.000  0.000  0.000
Sr  0.500  0.500  0.500



Record 3
DFT (GGA-PBEsol) results for crystalline SrTaTl2 at its relaxed geometry.

- Symmetry: Fm-3m (225)
- Formation enthalpy at 0 K: 0.471 eV/atom

Lattice parameters (Å, degrees): 5.197 5.197 5.197 60.00 60.00 60.00
Positions (direct):
Tl  0.750  0.750  0.750
Tl  0.250  0.250  0.250
Ta  0.500  0.500  0.500
Sr  0.000  0.000  0.000



Record 4
DFT (GGA-PBEsol) results for crystalline SrTa2Tl at its relaxed geometry.

- Symmetry: Cmmm (65)
- E above lowest polymorph: 0.449 eV per atom
- Formation enthalpy at 0 K: 0.944 eV/atom

Lattice parameters (Å, degrees): 2.927 5.866 5.866 118.15 90.00 90.00
Positions (direct):
Sr  0.500  0.500  0.500
Ta  0.000  0.000  0.500
Ta  0.000  0.500  0.000
Tl  0.500  0.000  0.000



Record 5
DFT (GGA-PBEsol) results for crystalline SrTa2Tl at its relaxed geometry.

- Symmetry: Cm (8)
- E above lowest polymorph: 0.124 eV per atom
- Formation enthalpy at 0 K: 0.620 eV/atom

Lattice parameters (Å, degrees): 3.012 4.882 6.926 94.92 90.00 107.96
Positions (direct):
Sr  0.757  0.514  0.246
Tl  0.508  0.015  0.546
Ta  0.986  0.971  0.929
Ta  0.250  0.499  0.779



Record 6
DFT (GGA-PBEsol) results for crystalline SrTa2Tl at its relaxed geometry.

- Symmetry: P4mm (99)
- E above lowest polymorph: 0.000 eV per atom
- Formation enthalpy at 0 K: 0.496 eV/atom

Lattice parameters (Å, degrees): 2.999 2.999 9.900 90.00 90.00 90.00
Positions (direct):
Ta  0.500  0.500  0.244
Ta  0.000  0.000  0.034
Sr  0.500  0.500  0.746
Tl  0.000  0.000  0.475



Record 7
DFT (GGA-PBEsol) results for crystalline SrTa2Tl at its relaxed geometry.

- Symmetry: Cmmm (65)
- E above lowest polymorph: 0.344 eV per atom
- Formation enthalpy at 0 K: 0.840 eV/atom

Lattice parameters (Å, degrees): 2.942 2.942 10.247 90.00 90.00 97.70
Positions (direct):
Tl  0.500  0.500  0.500
Sr  0.500  0.500  0.000
Ta  0.000  0.000  0.723
Ta  0.000  0.000  0.277



Record 8
DFT (GGA-PBEsol) results for crystalline SrTa4Tl at its relaxed geometry.

- Symmetry: F-43m (216)
- Formation enthalpy at 0 K: 0.651 eV/atom

Lattice parameters (Å, degrees): 5.670 5.670 5.670 60.00 60.00 60.00
Positions (direct):
Tl  0.750  0.750  0.750
Ta  0.372  0.885  0.372
Ta  0.885  0.372  0.372
Ta  0.372  0.372  0.372
Ta  0.372  0.372  0.885
Sr  0.000  0.000  0.000



Record 9
DFT (GGA-PBEsol) results for crystalline SrTaW3 at its relaxed geometry.

- Symmetry: Pm-3m (221)
- Formation enthalpy at 0 K: 1.988 eV/atom

Lattice parameters (Å, degrees): 4.879 4.879 4.879 90.00 90.00 90.00
Positions (direct):
Sr  0.500  0.500  0.500
W  0.000  0.000  0.500
W  0.500  0.000  0.000
W  0.000  0.500  0.000
Ta  0.000  0.000  0.000



Record 10
DFT (GGA-PBEsol) results for crystalline SrYTa2 at its relaxed geometry.

- Symmetry: Imm2 (44)
- E above lowest polymorph: 0.000 eV per atom
- Formation enthalpy at 0 K: 0.711 eV/atom

Lattice parameters (Å, degrees): 3.331 5.668 6.306 116.71 105.32 90.00
Positions (direct):
Ta  0.719  0.219  0.437
Ta  0.037  0.037  0.075
Y  0.475  0.475  0.949
Sr  0.269  0.769  0.539



Record 11
DFT (GGA-PBEsol) results for crystalline SrYTa2 at its relaxed geometry.

- Symmetry: Pmmm (47)
- E above lowest polymorph: 0.092 eV per atom
- Formation enthalpy at 0 K: 0.803 eV/atom

Lattice parameters (Å, degrees): 3.085 4.828 6.782 90.00 90.00 90.00
Positions (direct):
Ta  0.000  0.000  0.195
Ta  0.000  0.000  0.805
Sr  0.500  0.500  0.500
Y  0.500  0.500  0.000



Record 12
DFT (GGA-PBEsol) results for crystalline SrYTa2 at its relaxed geometry.

- Symmetry: F-43m (216)
- E above lowest polymorph: 0.143 eV per atom
- Formation enthalpy at 0 K: 0.854 eV/atom

Lattice parameters (Å, degrees): 5.060 5.060 5.060 60.00 60.00 60.00
Positions (direct):
Ta  0.000  0.000  0.000
Ta  0.750  0.750  0.750
Sr  0.500  0.500  0.500
Y  0.250  0.250  0.250



Number 1: spin magnetization 5.43 μB per cell. Number 2: spin magnetization 0.00 μB per cell. Number 3: spin magnetization 2.03 μB per cell. Number 4: spin magnetization 0.00 μB per cell. Number 5: spin magnetization 0.00 μB per cell. Number 6: spin magnetization 0.00 μB per cell. Number 7: spin magnetization 0.00 μB per cell. Number 8: spin magnetization 0.00 μB per cell. Number 9: spin magnetization 0.00 μB per cell. Number 10: spin magnetization 0.00 μB per cell. Number 11: spin magnetization 0.00 μB per cell. Number 12: spin magnetization 0.00 μB per cell.